(1)
Entry from Alexandria via LeMat-Bulk: an optimized crystal structure of ScHPdRh2 (GGA-PBE).

Unit cell a=3.933 b=3.933 c=4.145 alpha=90.00 beta=90.00 gamma=90.00
Element x y z (fractional)
1 Sc 0.000 0.000 0.500
2 H 0.000 0.000 0.000
3 Rh 0.000 0.500 0.000
4 Rh 0.500 0.000 0.000
5 Pd 0.500 0.500 0.500

***

(2)
Entry from Alexandria via LeMat-Bulk: an optimized crystal structure of ScHPdRh2 (GGA-PBE).

Unit cell a=4.006 b=4.006 c=3.996 alpha=90.00 beta=90.00 gamma=90.00
Element x y z (fractional)
1 Sc 0.500 0.500 0.500
2 H 0.000 0.000 0.000
3 Rh 0.000 0.500 0.000
4 Rh 0.500 0.000 0.000
5 Pd 0.000 0.000 0.500

***

Here is how they stack up, most stable first: (2), (1).

***

(1)
Entry from Alexandria via LeMat-Bulk: an optimized crystal structure of TaHPd2Rh (GGA-PBE).

Unit cell a=4.870 b=3.343 c=4.870 alpha=90.00 beta=90.00 gamma=90.00
Element x y z (fractional)
1 H 0.000 0.500 0.000
2 Rh 0.500 0.500 0.500
3 Pd 0.000 0.000 0.500
4 Pd 0.500 0.000 0.000
5 Ta 0.000 0.000 0.000

***

(2)
Entry from Alexandria via LeMat-Bulk: an optimized crystal structure of TaHPd2Rh (GGA-PBE).

Unit cell a=3.891 b=3.891 c=4.249 alpha=90.00 beta=90.00 gamma=90.00
Element x y z (fractional)
1 H 0.000 0.000 0.000
2 Rh 0.500 0.500 0.500
3 Pd 0.000 0.500 0.000
4 Pd 0.500 0.000 0.000
5 Ta 0.000 0.000 0.500

***

Here is how they stack up, most stable first: (2), (1).

***

(1)
Entry from Alexandria via LeMat-Bulk: an optimized crystal structure of Ti2HPdRh (GGA-PBE).

Unit cell a=4.051 b=4.051 c=3.842 alpha=90.00 beta=90.00 gamma=90.00
Site moments in Bohr magnetons follow the coordinates.
Element x y z (fractional)
1 H 0.000 0.000 0.000  0.00
2 Rh 0.500 0.500 0.500  -0.01
3 Pd 0.000 0.000 0.500  0.01
4 Ti 0.000 0.500 0.000  0.29
5 Ti 0.500 0.000 0.000  0.29

***

(2)
Entry from Alexandria via LeMat-Bulk: an optimized crystal structure of Ti2HPdRh (GGA-PBE).

Unit cell a=4.070 b=4.070 c=3.807 alpha=90.00 beta=90.00 gamma=90.00
Site moments in Bohr magnetons follow the coordinates.
Element x y z (fractional)
1 H 0.000 0.000 0.000  0.00
2 Rh 0.000 0.000 0.500  0.02
3 Pd 0.500 0.500 0.500  0.01
4 Ti 0.000 0.500 0.000  0.27
5 Ti 0.500 0.000 0.000  0.27

***

Here is how they stack up, most stable first: (2), (1).